[1]
This record from Alexandria via LeMat-Bulk describes SiOs2W after structural relaxation. The functional is PBE.

abc: 8.5244 2.8217 4.8633
angles: 90.00 97.06 90.00
Fractional coordinates of all 8 atoms:
Si (0.0000, 0.0000, 0.0000)
Si (0.5000, 0.5000, 0.0000)
Os (0.2500, 0.0000, 0.7636)
Os (0.2500, 0.5000, 0.2364)
Os (0.7500, 0.0000, 0.2364)
Os (0.7500, 0.5000, 0.7636)
W (0.0000, 0.5000, 0.5000)
W (0.5000, 0.0000, 0.5000)

Output
Formation energy (no corrections) in eV per atom: 0.09
Space group: C2/m (12)

[2]
This record from Alexandria via LeMat-Bulk describes SiOs2W after structural relaxation. The functional is PBE.

abc: 4.4483 4.4483 2.9267
angles: 90.00 90.00 90.00
Fractional coordinates of all 4 atoms:
Si (0.0000, 0.0000, 0.0000)
Os (0.0000, 0.5000, 0.5000)
Os (0.5000, 0.0000, 0.5000)
W (0.5000, 0.5000, 0.0000)

Output
Formation energy (no corrections) in eV per atom: 0.22
Space group: P4/mmm (123)